# 1
Entry from the Alexandria database: Pm2Cd6Hg after structural relaxation (PBE).

Geometry as POSCAR:
```
Pm2Cd6Hg
1.0
6.147 -0.028 -0.016
0.029 6.483 0.006
0.029 3.235 5.618
Pm Cd Hg
2 6 1
direct
0.832 0.667 0.667 Pm
0.168 0.333 0.333 Pm
0.328 0.362 0.819 Cd
0.326 0.819 0.819 Cd
0.328 0.819 0.362 Cd
0.672 0.638 0.181 Cd
0.674 0.181 0.181 Cd
0.672 0.181 0.638 Cd
0.000 0.000 0.000 Hg
```

* E_tot: -1.925 eV/atom
* ΔH_f (0 K): -0.226 eV per atom
* density: 8.6 Mg/m³
* N(E_F): 6.69 states/eV/f.u.

---

# 2
Entry from the Alexandria database: LiIn2Au after structural relaxation (PBE).

Geometry as POSCAR:
```
LiIn2Au
1.0
3.204 0.000 0.000
0.000 3.204 0.000
0.000 0.000 8.152
Au In Li
1 2 1
direct
0.500 0.500 0.750 Au
0.000 0.000 0.994 In
0.000 0.000 0.506 In
0.500 0.500 0.250 Li
```

* E_tot: -2.871 eV/atom
* ΔH_f (0 K): -0.204 eV per atom
* density: 8.6 Mg/m³
* N(E_F): 0.96 states/eV/f.u.